(1)
{"formula": "ZrIrAu", "functional": "PBE-GGA", "state": "optimized geometry", "lattice_angstrom": [[-1.1333, -5.5199, 0.5453], [4.2232, -0.7567, 1.1178], [-1.6445, 2.8364, 8.1337]], "species": ["Zr", "Zr", "Ir", "Au", "Au", "Ir", "Au", "Zr", "Ir", "Au", "Zr", "Ir"], "frac_coords": [[0.7025, 0.0000, 0.8422], [0.2975, 0.0000, 0.1578], [0.2045, 0.5000, 0.3252], [0.0000, 0.5000, 0.0000], [0.5000, 0.0000, 0.5000], [0.7955, 0.5000, 0.6748], [0.0000, 0.0000, 0.5000], [0.7025, 0.5000, 0.3422], [0.7955, 0.0000, 0.1748], [0.5000, 0.5000, 0.0000], [0.2975, 0.5000, 0.6578], [0.2045, 0.0000, 0.8252]], "m_tot_mub_per_cell": 0.00, "n_ef_per_ev_cell": 5.6, "sg": "C2/m"}



(2)
{"formula": "ZrIrAu", "functional": "PBE-GGA", "state": "optimized geometry", "lattice_angstrom": [[4.4612, 0.0000, 0.0000], [0.0000, 9.0550, 0.0000], [0.0000, 0.0000, 5.4587]], "species": ["Ir", "Zr", "Zr", "Ir", "Zr", "Zr", "Au", "Au", "Ir", "Au", "Ir", "Au"], "frac_coords": [[0.0000, 0.8806, 0.7500], [0.5000, 0.3000, 0.2500], [0.5000, 0.7000, 0.7500], [0.5000, 0.3806, 0.7500], [0.0000, 0.2000, 0.7500], [0.0000, 0.8000, 0.2500], [0.5000, 0.0000, 0.0000], [0.5000, 0.0000, 0.5000], [0.0000, 0.1194, 0.2500], [0.0000, 0.5000, 0.0000], [0.5000, 0.6194, 0.2500], [0.0000, 0.5000, 0.5000]], "m_tot_mub_per_cell": 0.00, "n_ef_per_ev_cell": 4.7, "sg": "Cmcm"}



(3)
{"formula": "ZrIrAu", "functional": "PBE-GGA", "state": "optimized geometry", "lattice_angstrom": [[-0.4763, 1.4954, -4.1990], [-3.8007, -0.7882, -2.2424], [-2.8270, 3.3676, -0.8729]], "species": ["Zr", "Au", "Ir"], "frac_coords": [[0.0000, 0.0000, 0.0000], [0.5000, 0.5000, 0.5000], [0.7500, 0.7500, 0.7500]], "m_tot_mub_per_cell": 0.00, "n_ef_per_ev_cell": 0.6, "sg": "F-43m"}



The most stable arrangement is (2), and the next structure is 27 meV per atom less stable.



(1)
{"formula": "ZrIrAu", "functional": "PBE-GGA", "state": "optimized geometry", "lattice_angstrom": [[9.6965, 0.0000, 0.0000], [0.0000, 5.1496, 0.0000], [0.0000, 0.0000, 8.6546]], "species": ["Ir", "Au", "Au", "Zr", "Au", "Ir", "Au", "Au", "Ir", "Zr", "Ir", "Zr", "Au", "Ir", "Au", "Ir", "Ir", "Zr", "Zr", "Zr", "Au", "Zr", "Zr", "Ir"], "frac_coords": [[0.5000, 0.5000, 0.5352], [0.7500, 0.7500, 0.1213], [0.7500, 0.2500, 0.6213], [0.5000, 0.5000, 0.2178], [0.0000, 0.5000, 0.3713], [0.0000, 0.5000, 0.0352], [0.5000, 0.5000, 0.8713], [0.5000, 0.0000, 0.3713], [0.2500, 0.2500, 0.7852], [0.0000, 0.0000, 0.2178], [0.7500, 0.2500, 0.2852], [0.7500, 0.7500, 0.4678], [0.2500, 0.7500, 0.6213], [0.5000, 0.0000, 0.0352], [0.0000, 0.0000, 0.8713], [0.7500, 0.7500, 0.7852], [0.2500, 0.7500, 0.2852], [0.0000, 0.5000, 0.7178], [0.5000, 0.0000, 0.7178], [0.2500, 0.7500, 0.9678], [0.2500, 0.2500, 0.1213], [0.2500, 0.2500, 0.4678], [0.7500, 0.2500, 0.9678], [0.0000, 0.0000, 0.5352]], "m_tot_mub_per_cell": 0.00, "n_ef_per_ev_cell": 4.4, "sg": "Fdd2"}



(2)
{"formula": "ZrIrAu", "functional": "PBE-GGA", "state": "optimized geometry", "lattice_angstrom": [[-2.5566, 3.6290, 0.6920], [-4.4291, -0.2007, -0.7267], [-2.8529, 0.1097, 3.4690]], "species": ["Zr", "Au", "Ir"], "frac_coords": [[0.7500, 0.7500, 0.7500], [0.0000, 0.0000, 0.0000], [0.5000, 0.5000, 0.5000]], "m_tot_mub_per_cell": 0.00, "n_ef_per_ev_cell": 0.5, "sg": "F-43m"}



The most stable arrangement is (1), and the next structure is 424 meV per atom less stable.



(1)
{"formula": "ZrIrAu", "functional": "PBE-GGA", "state": "optimized geometry", "lattice_angstrom": [[4.9510, 0.0000, -0.0011], [0.0000, 4.9180, 0.0000], [-2.4590, 0.0000, 4.4819]], "species": ["Zr", "Au", "Ir", "Zr", "Ir", "Au"], "frac_coords": [[0.2776, 0.7500, 0.0189], [0.9593, 0.7500, 0.3538], [0.3761, 0.2500, 0.2939], [0.7224, 0.2500, 0.9811], [0.6239, 0.7500, 0.7061], [0.0407, 0.2500, 0.6462]], "m_tot_mub_per_cell": 0.00, "n_ef_per_ev_cell": 4.2, "sg": "P2_1/m"}



(2)
{"formula": "ZrIrAu", "functional": "PBE-GGA", "state": "optimized geometry", "lattice_angstrom": [[4.6064, 0.0000, 0.0000], [-2.3032, 3.9893, 0.0000], [0.0000, 0.0000, 2.9326]], "species": ["Zr", "Au", "Ir"], "frac_coords": [[0.6667, 0.3333, 0.6257], [0.0000, 0.0000, 0.0207], [0.3333, 0.6667, 0.3537]], "m_tot_mub_per_cell": 0.00, "n_ef_per_ev_cell": 1.8, "sg": "P3m1"}



(3)
{"formula": "ZrIrAu", "functional": "PBE-GGA", "state": "optimized geometry", "lattice_angstrom": [[5.1170, 0.0044, -0.0182], [2.7257, 4.3306, 0.0182], [-3.7595, -2.4604, 2.4489]], "species": ["Au", "Ir", "Zr"], "frac_coords": [[0.0001, 0.0001, 0.0000], [0.3225, 0.3225, 0.0000], [0.6773, 0.6773, 0.0000]], "m_tot_mub_per_cell": 0.00, "n_ef_per_ev_cell": 1.2, "sg": "Imm2"}



The most stable arrangement is (3), and the next structure is 20 meV per atom less stable.